{
  "formula": "TlCrMo2",
  "functional": "GGA-PBE",
  "state": "relaxed",
  "cell": [[9.9162, 0.0000, 0.0000], [0.0000, 3.2740, 0.0000], [-2.0634, 0.0000, 4.0411]],
  "species": ["Tl", "Tl", "Cr", "Cr", "Mo", "Mo", "Mo", "Mo"],
  "frac_coords": [[0.0000, 0.0000, 0.0000], [0.5000, 0.5000, 0.0000], [0.2412, 0.0000, 0.7406], [0.7412, 0.5000, 0.7406], [0.0223, 0.5000, 0.5223], [0.2753, 0.5000, 0.2764], [0.5223, 0.0000, 0.5223], [0.7753, 0.0000, 0.2764]],
  "space_group": "Cm (8)",
  "polymorph_energy_mev_per_atom": 137,
  "total_energy_ha_per_atom": -0.28724,
  "mass_density_kg_m3": 11347,
  "ef_ev_per_atom": 0.5968
}



{
  "formula": "TlCrMo",
  "functional": "GGA-PBE",
  "state": "relaxed",
  "cell": [[4.4804, 0.0000, 0.0000], [-2.2402, 3.8801, 0.0000], [0.0000, 0.0000, 2.9391]],
  "species": ["Tl", "Cr", "Mo"],
  "frac_coords": [[0.0000, 0.0000, 0.0000], [0.6667, 0.3333, 0.3422], [0.3333, 0.6667, 0.5497]],
  "space_group": "P3m1 (156)",
  "polymorph_energy_mev_per_atom": 181,
  "total_energy_ha_per_atom": -0.25278,
  "mass_density_kg_m3": 11450,
  "ef_ev_per_atom": 0.7283
}



{
  "formula": "TlCr2Mo",
  "functional": "GGA-PBE",
  "state": "relaxed",
  "cell": [[3.8632, 0.0000, 0.0000], [0.0000, 3.8632, 0.0000], [0.0000, 0.0000, 8.6793]],
  "species": ["Tl", "Tl", "Cr", "Cr", "Cr", "Cr", "Mo", "Mo"],
  "frac_coords": [[0.0000, 0.0000, 0.0000], [0.5000, 0.5000, 0.5000], [0.0000, 0.0000, 0.5000], [0.0000, 0.5000, 0.7500], [0.5000, 0.0000, 0.2500], [0.5000, 0.5000, 0.0000], [0.0000, 0.5000, 0.2500], [0.5000, 0.0000, 0.7500]],
  "space_group": "I-4m2 (119)",
  "polymorph_energy_mev_per_atom": 197,
  "total_energy_ha_per_atom": -0.27224,
  "mass_density_kg_m3": 10366,
  "ef_ev_per_atom": 0.7030
}



{
  "formula": "TlCrMo",
  "functional": "GGA-PBE",
  "state": "relaxed",
  "cell": [[6.1483, 0.0000, 0.0000], [0.0000, 6.1483, 0.0000], [0.0000, 0.0000, 6.1483]],
  "species": ["Tl", "Tl", "Tl", "Tl", "Cr", "Cr", "Cr", "Cr", "Mo", "Mo", "Mo", "Mo"],
  "frac_coords": [[0.0000, 0.0000, 0.0000], [0.0000, 0.5000, 0.5000], [0.5000, 0.0000, 0.5000], [0.5000, 0.5000, 0.0000], [0.2500, 0.2500, 0.2500], [0.2500, 0.7500, 0.7500], [0.7500, 0.2500, 0.7500], [0.7500, 0.7500, 0.2500], [0.0000, 0.0000, 0.5000], [0.0000, 0.5000, 0.0000], [0.5000, 0.0000, 0.0000], [0.5000, 0.5000, 0.5000]],
  "space_group": "F-43m (216)",
  "polymorph_energy_mev_per_atom": 427,
  "total_energy_ha_per_atom": -0.24373,
  "mass_density_kg_m3": 10069,
  "ef_ev_per_atom": 0.9746
}



{
  "formula": "TlCr2Mo",
  "functional": "GGA-PBE",
  "state": "relaxed",
  "cell": [[3.0030, 0.0000, 0.0000], [-1.5015, 2.6007, 0.0000], [0.0000, 0.0000, 25.5051]],
  "species": ["Tl", "Tl", "Tl", "Cr", "Cr", "Cr", "Cr", "Cr", "Cr", "Mo", "Mo", "Mo"],
  "frac_coords": [[0.0000, 0.0000, 0.0000], [0.3333, 0.6667, 0.6667], [0.6667, 0.3333, 0.3333], [0.0000, 0.0000, 0.2391], [0.0000, 0.0000, 0.5036], [0.3333, 0.6667, 0.1703], [0.3333, 0.6667, 0.9058], [0.6667, 0.3333, 0.5724], [0.6667, 0.3333, 0.8370], [0.0000, 0.0000, 0.7660], [0.3333, 0.6667, 0.4327], [0.6667, 0.3333, 0.0993]],
  "space_group": "R3m (160)",
  "polymorph_energy_mev_per_atom": 155,
  "total_energy_ha_per_atom": -0.27381,
  "mass_density_kg_m3": 10112,
  "ef_ev_per_atom": 0.6603
}



{
  "formula": "TlCr2Mo",
  "functional": "GGA-PBE",
  "state": "relaxed",
  "cell": [[3.2186, 0.0000, 0.0000], [0.0000, 3.2186, 0.0000], [0.0000, 0.0000, 6.0605]],
  "species": ["Tl", "Cr", "Cr", "Mo"],
  "frac_coords": [[0.0000, 0.0000, 0.0000], [0.5000, 0.5000, 0.2984], [0.5000, 0.5000, 0.7016], [0.0000, 0.0000, 0.5000]],
  "space_group": "P4/mmm (123)",
  "polymorph_energy_mev_per_atom": 0,
  "total_energy_ha_per_atom": -0.27949,
  "mass_density_kg_m3": 10694,
  "ef_ev_per_atom": 0.5057
}



{
  "formula": "TlCrMo2",
  "functional": "GGA-PBE",
  "state": "relaxed",
  "cell": [[3.8239, 0.0000, 0.0000], [0.0000, 3.8239, 0.0000], [0.0000, 0.0000, 20.0355]],
  "species": ["Tl", "Tl", "Tl", "Tl", "Cr", "Cr", "Cr", "Cr", "Mo", "Mo", "Mo", "Mo", "Mo", "Mo", "Mo", "Mo"],
  "frac_coords": [[0.0000, 0.0000, 0.0000], [0.0000, 0.5000, 0.2500], [0.5000, 0.0000, 0.7500], [0.5000, 0.5000, 0.5000], [0.0000, 0.0000, 0.5000], [0.0000, 0.5000, 0.7500], [0.5000, 0.0000, 0.2500], [0.5000, 0.5000, 0.0000], [0.2290, 0.2500, 0.6250], [0.2500, 0.7290, 0.8750], [0.2500, 0.7710, 0.3750], [0.2710, 0.2500, 0.1250], [0.7290, 0.7500, 0.1250], [0.7500, 0.2290, 0.3750], [0.7500, 0.2710, 0.8750], [0.7710, 0.7500, 0.6250]],
  "space_group": "I-42d (122)",
  "polymorph_energy_mev_per_atom": 539,
  "total_energy_ha_per_atom": -0.27247,
  "mass_density_kg_m3": 10163,
  "ef_ev_per_atom": 0.9986
}



{
  "formula": "TlCrMo2W",
  "functional": "GGA-PBE",
  "state": "relaxed",
  "cell": [[4.5388, 0.0000, 0.0000], [0.0000, 4.5388, 0.0000], [0.0000, 0.0000, 4.5787]],
  "species": ["Tl", "Cr", "Mo", "Mo", "W"],
  "frac_coords": [[0.0000, 0.0000, 0.0000], [0.5000, 0.5000, 0.5000], [0.0000, 0.5000, 0.5000], [0.5000, 0.0000, 0.5000], [0.5000, 0.5000, 0.0000]],
  "space_group": "P4/mmm (123)",
  "total_energy_ha_per_atom": -0.29477,
  "mass_density_kg_m3": 11128,
  "ef_ev_per_atom": 1.2998
}



{
  "formula": "TlZn2CrMo",
  "functional": "GGA-PBE",
  "state": "relaxed",
  "cell": [[4.8269, 0.0000, 0.0000], [0.0000, 4.8269, 0.0000], [0.0000, 0.0000, 5.0289]],
  "species": ["Tl", "Zn", "Zn", "Cr", "Mo"],
  "frac_coords": [[0.0000, 0.0000, 0.0000], [0.0000, 0.5000, 0.0000], [0.5000, 0.0000, 0.0000], [0.0000, 0.0000, 0.5000], [0.5000, 0.5000, 0.5000]],
  "space_group": "P4/mmm (123)",
  "total_energy_ha_per_atom": -0.11930,
  "mass_density_kg_m3": 6847,
  "ef_ev_per_atom": 1.8275
}



{
  "formula": "Zr2TlCrMo",
  "functional": "GGA-PBE",
  "state": "relaxed",
  "cell": [[4.7107, 0.0000, 0.0000], [0.0000, 4.7107, 0.0000], [0.0000, 0.0000, 5.0740]],
  "species": ["Zr", "Zr", "Tl", "Cr", "Mo"],
  "frac_coords": [[0.0000, 0.5000, 0.0000], [0.5000, 0.0000, 0.0000], [0.0000, 0.0000, 0.5000], [0.0000, 0.0000, 0.0000], [0.5000, 0.5000, 0.5000]],
  "space_group": "P4/mmm (123)",
  "total_energy_ha_per_atom": -0.25566,
  "mass_density_kg_m3": 7887,
  "ef_ev_per_atom": 1.0264
}



{
  "formula": "UCrMo2",
  "functional": "GGA-PBE",
  "state": "relaxed",
  "cell": [[2.8852, 0.0000, 0.0000], [-1.4426, 2.4987, 0.0000], [0.0000, 0.0000, 27.5696]],
  "species": ["U", "U", "U", "Cr", "Cr", "Cr", "Mo", "Mo", "Mo", "Mo", "Mo", "Mo"],
  "frac_coords": [[0.0000, 0.0000, 0.0000], [0.3333, 0.6667, 0.6667], [0.6667, 0.3333, 0.3333], [0.0000, 0.0000, 0.5000], [0.3333, 0.6667, 0.1667], [0.6667, 0.3333, 0.8333], [0.0000, 0.0000, 0.0957], [0.0000, 0.0000, 0.9043], [0.3333, 0.6667, 0.5710], [0.3333, 0.6667, 0.7623], [0.6667, 0.3333, 0.2377], [0.6667, 0.3333, 0.4290]],
  "space_group": "R-3m (166)",
  "polymorph_energy_mev_per_atom": 221,
  "total_energy_ha_per_atom": -0.37005,
  "mass_density_kg_m3": 12079,
  "ef_ev_per_atom": 0.5738
}



{
  "formula": "UCrMo2",
  "functional": "GGA-PBE",
  "state": "relaxed",
  "cell": [[3.2532, 0.0000, 0.0000], [0.0000, 3.2532, 0.0000], [0.0000, 0.0000, 6.1627]],
  "species": ["U", "Cr", "Mo", "Mo"],
  "frac_coords": [[0.0000, 0.0000, 0.0000], [0.0000, 0.0000, 0.5000], [0.5000, 0.5000, 0.2604], [0.5000, 0.5000, 0.7396]],
  "space_group": "P4/mmm (123)",
  "polymorph_energy_mev_per_atom": 0,
  "total_energy_ha_per_atom": -0.37816,
  "mass_density_kg_m3": 12269,
  "ef_ev_per_atom": 0.3531
}